MgNiCS | PBE-GGA | relaxed

It has space group P3m1 (No. 156), with a = 3.3129 Å, b = 3.3129 Å, c = 5.6943 Å, α = 90.00°, β = 90.00° and γ = 120.00°. The inequivalent atoms are Mg at (0.0000, 0.0000, 0.0000), Ni at (0.3333, 0.6667, 0.3485), C at (0.6667, 0.3333, 0.2786) and S at (0.3333, 0.6667, 0.7296).

For the density of states at the Fermi level, the calculation gives 2.07 states/eV/cell. The value obtained for the energy above the most stable polymorph in this dataset is 51 meV per atom. Its formation energy (no corrections) is 0.17 eV per atom. The raw total energy is -20.04 eV for the cell shown. For the total magnetization, the calculation gives 0.00 μB/f.u.